This record from Alexandria describes an optimized crystal structure of BeHg3I. The functional is GGA-PBE.

Cell and atoms, written as CIF:
```
data_BeHg3I
_cell_length_a 6.6290
_cell_length_b 6.6290
_cell_length_c 6.6290
_cell_angle_alpha 90.00
_cell_angle_beta 90.00
_cell_angle_gamma 90.00
_space_group_name_H-M_alt 'P m -3 m'
_space_group_IT_number 221
_space_group_name_Hall '-P 4 2 3'
loop_
_atom_site_label
_atom_site_type_symbol
_atom_site_fract_x
_atom_site_fract_y
_atom_site_fract_z
_atom_site_occupancy
Be1 Be 0.0000 0.0000 0.0000 1
Hg1 Hg 0.0000 0.5000 0.5000 1
I1 I 0.5000 0.5000 0.5000 1
```

Summary:
**Excess energy over the best structure of this formula in the dataset**: 0.763 eV/atom
**Total magnetization**: 0.000 μB/atom
**Formation energy (no corrections)**: 0.87 eV/atom
**Crystal system**: cubic